A geometry-optimized Ba2NiHPt structure. Source: Alexandria, functional PBE.

Output
Theoretical density ... 7.470 g/cm3
E above lowest polymorph ... 54 meV/atom
Space group ... No. 123
Total energy ... -4.07 eV per atom

a b c (Å): 5.596 5.596 3.758
angles (deg): 90.00 90.00 90.00
Fractional coordinates of all 5 atoms:
Ba 0.000 0.500 0.000
Ba 0.500 0.000 0.000
Pt 0.000 0.000 0.500
Ni 0.500 0.500 0.500
H 0.000 0.000 0.000


A geometry-optimized CdGaOF2 structure. Source: Alexandria, functional PBE.

Output
Theoretical density ... 5.991 g/cm3
E above lowest polymorph ... 0 meV/atom
Space group ... No. 123
Total energy ... -4.14 eV per atom

a b c (Å): 4.234 4.234 3.650
angles (deg): 90.00 90.00 90.00
Fractional coordinates of all 5 atoms:
O 0.000 0.000 0.500
F 0.000 0.500 0.000
F 0.500 0.000 0.000
Ga 0.000 0.000 0.000
Cd 0.500 0.500 0.500


A geometry-optimized SmHoPt structure. Source: Alexandria, functional PBE.

Output
Theoretical density ... 10.279 g/cm3
E above lowest polymorph ... 1 meV/atom
E_form ... -0.8985 eV/atom
Space group ... No. 14
Total energy ... -6.01 eV per atom

a b c (Å): 6.878 6.718 7.184
angles (deg): 90.00 90.00 96.54
Fractional coordinates of all 12 atoms:
Ho 0.003 0.065 0.261
Ho 0.503 0.065 0.239
Ho 0.497 0.935 0.761
Ho 0.997 0.935 0.739
Sm 0.232 0.397 0.895
Sm 0.268 0.603 0.395
Sm 0.768 0.603 0.105
Sm 0.732 0.397 0.605
Pt 0.794 0.204 0.956
Pt 0.706 0.796 0.456
Pt 0.206 0.796 0.044
Pt 0.294 0.204 0.544


Q: What is the total energy in the first record?
A: -4.07 eV per atom